w | # Nd2PaS5

A relaxed Nd2PaS5 crystal (GGA-PBE, the Alexandria database).

The structure in POSCAR format:
```
Nd2PaS5
1.0
7.5129 0.0000 0.0000
0.0000 8.0799 0.0000
0.0000 0.0000 12.0315
S Pa Nd
20 4 8
direct
0.8382 0.4588 0.9034
0.9520 0.7500 0.4989
0.6691 0.2500 0.6848
0.8309 0.2500 0.1848
0.3382 0.9588 0.5966
0.1691 0.7500 0.8152
0.6618 0.4588 0.4034
0.1951 0.2500 0.7872
0.1618 0.9588 0.0966
0.5480 0.7500 0.9989
0.0480 0.2500 0.5011
0.4520 0.2500 0.0011
0.6618 0.0412 0.4034
0.8382 0.0412 0.9034
0.6951 0.7500 0.7128
0.3309 0.7500 0.3152
0.8049 0.7500 0.2128
0.3049 0.2500 0.2872
0.3382 0.5412 0.5966
0.1618 0.5412 0.0966
0.9290 0.7500 0.9929
0.0710 0.2500 0.0071
0.4290 0.2500 0.5071
0.5710 0.7500 0.4929
0.0244 0.5000 0.3223
0.4756 0.0000 0.8223
0.5244 0.5000 0.1777
0.5244 0.0000 0.1777
0.0244 0.0000 0.3223
0.9756 0.0000 0.6777
0.9756 0.5000 0.6777
0.4756 0.5000 0.8223
```

Results
SG: No. 62
DOS(E_F): 0.657 states/eV per atom
magnetic moment: 0.81 μB per formula unit


x | # Nd2PaS5

A relaxed Nd2PaS5 crystal (GGA-PBE, the Alexandria database).

The structure in POSCAR format:
```
Nd2PaS5
1.0
-2.0136 -0.0086 5.0283
0.5426 -6.8372 -2.7118
12.4911 -0.9920 5.0005
S Nd Pa
10 4 2
direct
0.0481 0.0961 0.3793
0.3054 0.6109 0.0806
0.6946 0.3891 0.5806
0.6946 0.3891 0.9194
0.3054 0.6109 0.4194
0.7420 0.4840 0.2500
0.0481 0.0961 0.1207
0.9519 0.9039 0.8793
0.2580 0.5160 0.7500
0.9519 0.9039 0.6207
0.8556 0.7112 0.4392
0.1444 0.2888 0.9392
0.8556 0.7112 0.0608
0.1444 0.2888 0.5608
0.1931 0.3863 0.2500
0.8069 0.6137 0.7500
```

Results
SG: No. 63
DOS(E_F): 0.531 states/eV per atom
magnetic moment: 1.03 μB per formula unit


The calculated energies rank the structures as follows, beginning with the most stable: w, x.


w | # NdPaSb

A relaxed NdPaSb crystal (GGA-PBE, the Alexandria database).

The structure in POSCAR format:
```
NdPaSb
1.0
5.8207 0.0000 0.0000
0.0000 3.2912 0.0000
0.0000 1.6456 9.0485
Nd Sb Pa
2 2 2
direct
0.2500 0.3343 0.3313
0.7500 0.6657 0.6687
0.2500 0.1560 0.6879
0.7500 0.8440 0.3121
0.0000 0.0000 0.0000
0.5000 0.0000 0.0000
```

Results
SG: No. 63
DOS(E_F): 1.587 states/eV per atom
magnetic moment: 0.00 μB per formula unit


x | # NdPaSb

A relaxed NdPaSb crystal (GGA-PBE, the Alexandria database).

The structure in POSCAR format:
```
NdPaSb
1.0
4.0309 0.0000 0.0000
0.0000 4.0309 0.0000
-2.0155 -2.0155 5.3121
Pa Nd Sb
1 1 1
direct
0.9314 0.9314 0.8628
0.6328 0.6328 0.2655
0.2859 0.2859 0.5717
```

Results
SG: No. 107
DOS(E_F): 1.964 states/eV per atom
magnetic moment: 1.12 μB per formula unit


The calculated energies rank the structures as follows, beginning with the most stable: w, x.


w | # NdScPa

A relaxed NdScPa crystal (GGA-PBE, the Alexandria database).

The structure in POSCAR format:
```
NdScPa
1.0
-2.0723 2.4234 0.9373
-2.3707 -2.2542 0.5866
4.6322 -0.7710 6.3428
Pa Sc Nd
1 1 1
direct
0.9558 0.9558 0.9116
0.6053 0.6053 0.2107
0.2889 0.2889 0.5778
```

Results
SG: No. 107
DOS(E_F): 1.756 states/eV per atom
magnetic moment: 0.00 μB per formula unit


x | # NdScPa

A relaxed NdScPa crystal (GGA-PBE, the Alexandria database).

The structure in POSCAR format:
```
NdScPa
1.0
-2.3498 2.3630 0.4812
0.0979 -1.7113 -2.8980
-5.1444 -5.7746 3.2361
Pa Nd Sc
1 1 1
direct
0.0000 0.0000 0.0101
0.3333 0.6667 0.6719
0.6667 0.3333 0.3180
```

Results
SG: No. 156
DOS(E_F): 1.370 states/eV per atom
magnetic moment: 0.00 μB per formula unit


The calculated energies rank the structures as follows, beginning with the most stable: x, w.


w | # Nd3PaSe6

A relaxed Nd3PaSe6 crystal (GGA-PBE, the Alexandria database).

The structure in POSCAR format:
```
Nd3PaSe6
1.0
-5.2516 3.6145 3.4369
-2.1582 -7.5580 4.6507
6.2198 3.8119 5.4949
Se Nd Pa
12 6 2
direct
0.6804 0.3038 0.3717
0.7529 0.9922 0.0078
0.6804 0.6283 0.6962
0.1955 0.0972 0.5728
0.6329 0.2309 0.7691
0.6955 0.5728 0.0972
0.1804 0.3717 0.3038
0.2529 0.0078 0.9922
0.6955 0.9028 0.4272
0.1955 0.4272 0.9028
0.1329 0.7691 0.2309
0.1804 0.6962 0.6283
0.3783 0.4041 0.5959
0.4879 0.2893 0.0873
0.8783 0.5959 0.4041
0.4879 0.9127 0.7107
0.9879 0.0873 0.2893
0.9879 0.7107 0.9127
0.4936 0.8385 0.1615
0.9936 0.1615 0.8385
```

Results
SG: No. 36
DOS(E_F): 0.586 states/eV per atom
magnetic moment: 2.03 μB per formula unit


x | # Nd3PaSe6

A relaxed Nd3PaSe6 crystal (GGA-PBE, the Alexandria database).

The structure in POSCAR format:
```
Nd3PaSe6
1.0
4.1630 0.0000 0.0000
0.0000 11.3650 -4.1776
0.0000 0.5190 11.7829
Se Nd Pa
12 6 2
direct
0.2500 0.8924 0.0816
0.2500 0.3806 0.5184
0.7500 0.6194 0.4816
0.2500 0.9263 0.5963
0.2500 0.5384 0.8925
0.7500 0.0737 0.4037
0.7500 0.2853 0.7599
0.7500 0.1076 0.9184
0.2500 0.7147 0.2401
0.7500 0.7498 0.8146
0.7500 0.4616 0.1075
0.2500 0.2502 0.1854
0.7500 0.5044 0.6795
0.7500 0.8339 0.4166
0.7500 0.0753 0.1597
0.2500 0.9247 0.8403
0.2500 0.4956 0.3205
0.2500 0.1661 0.5834
0.7500 0.6933 0.0431
0.2500 0.3067 0.9569
```

Results
SG: No. 11
DOS(E_F): 0.578 states/eV per atom
magnetic moment: 1.49 μB per formula unit


The calculated energies rank the structures as follows, beginning with the most stable: x, w.


w | # NdPaSe3

A relaxed NdPaSe3 crystal (GGA-PBE, the Alexandria database).

The structure in POSCAR format:
```
NdPaSe3
1.0
4.0834 0.0000 0.0000
0.0000 7.8547 0.0000
0.0000 0.0000 16.2288
Nd Se Pa
4 12 4
direct
0.7500 0.4056 0.7049
0.7500 0.9056 0.7951
0.2500 0.5944 0.2951
0.2500 0.0944 0.2049
0.7500 0.1188 0.0686
0.7500 0.6188 0.4314
0.2500 0.6822 0.7183
0.7500 0.9959 0.6004
0.2500 0.8812 0.9314
0.7500 0.4959 0.8996
0.2500 0.0041 0.3996
0.2500 0.1822 0.7817
0.7500 0.3178 0.2817
0.2500 0.5041 0.1004
0.7500 0.8178 0.2183
0.2500 0.3812 0.5686
0.7500 0.2383 0.4597
0.2500 0.2617 0.9597
0.7500 0.7383 0.0403
0.2500 0.7617 0.5403
```

Results
SG: No. 62
DOS(E_F): 0.943 states/eV per atom
magnetic moment: 1.61 μB per formula unit


x | # NdPaSe3

A relaxed NdPaSe3 crystal (GGA-PBE, the Alexandria database).

The structure in POSCAR format:
```
NdPaSe3
1.0
5.6073 0.0000 0.0000
0.0000 5.7275 -1.1697
-2.8037 -4.1099 9.0788
Se Nd Pa
6 2 2
direct
0.0000 0.2474 0.0001
0.1907 0.3815 0.3815
0.0000 0.7526 0.9999
0.3439 0.1876 0.6879
0.6561 0.8124 0.3121
0.8093 0.6185 0.6185
0.6274 0.2552 0.2549
0.3726 0.7448 0.7451
0.1555 0.8110 0.3109
0.8445 0.1890 0.6891
```

Results
SG: No. 65
DOS(E_F): 1.043 states/eV per atom
magnetic moment: 0.27 μB per formula unit


The calculated energies rank the structures as follows, beginning with the most stable: w, x.


w | # Nd2PaSe5

A relaxed Nd2PaSe5 crystal (GGA-PBE, the Alexandria database).

The structure in POSCAR format:
```
Nd2PaSe5
1.0
7.8815 0.0000 0.0000
0.0000 8.4177 0.0000
0.0000 0.0000 12.5903
Pa Se Nd
4 20 8
direct
0.9260 0.7500 0.9931
0.5740 0.7500 0.4931
0.4260 0.2500 0.5069
0.0740 0.2500 0.0069
0.6959 0.7500 0.7138
0.8041 0.7500 0.2138
0.8290 0.2500 0.1831
0.1959 0.2500 0.7862
0.1710 0.7500 0.8169
0.6640 0.4566 0.4027
0.8360 0.0434 0.9027
0.6710 0.2500 0.6831
0.3290 0.7500 0.3169
0.0455 0.2500 0.5006
0.8360 0.4566 0.9027
0.1640 0.5434 0.0973
0.4545 0.2500 0.0006
0.9545 0.7500 0.4994
0.3360 0.5434 0.5973
0.3360 0.9566 0.5973
0.5455 0.7500 0.9994
0.1640 0.9566 0.0973
0.3041 0.2500 0.2862
0.6640 0.0434 0.4027
0.0238 0.4982 0.3213
0.9762 0.9982 0.6787
0.5238 0.9982 0.1787
0.0238 0.0018 0.3213
0.4762 0.0018 0.8213
0.4762 0.4982 0.8213
0.5238 0.5018 0.1787
0.9762 0.5018 0.6787
```

Results
SG: No. 62
DOS(E_F): 0.717 states/eV per atom
magnetic moment: 0.89 μB per formula unit


x | # Nd2PaSe5

A relaxed Nd2PaSe5 crystal (GGA-PBE, the Alexandria database).

The structure in POSCAR format:
```
Nd2PaSe5
1.0
5.7158 0.0000 0.0000
-2.8579 7.0750 0.0000
0.0000 0.0000 14.0210
Se Nd Pa
10 4 2
direct
0.3125 0.6250 0.4211
0.6875 0.3750 0.5789
0.3125 0.6250 0.0789
0.7415 0.4829 0.2500
0.2585 0.5171 0.7500
0.9525 0.9050 0.6223
0.0475 0.0950 0.1223
0.0475 0.0950 0.3777
0.6875 0.3750 0.9211
0.9525 0.9050 0.8777
0.1461 0.2922 0.5586
0.8539 0.7078 0.0586
0.1461 0.2922 0.9414
0.8539 0.7078 0.4414
0.8025 0.6050 0.7500
0.1975 0.3950 0.2500
```

Results
SG: No. 63
DOS(E_F): 0.464 states/eV per atom
magnetic moment: 1.02 μB per formula unit


The calculated energies rank the structures as follows, beginning with the most stable: w, x.


w | # NdPa6Se8

A relaxed NdPa6Se8 crystal (GGA-PBE, the Alexandria database).

The structure in POSCAR format:
```
NdPa6Se8
1.0
-5.4784 5.7017 1.7853
-7.4199 -0.3509 -3.2453
-6.3787 -1.8249 4.6575
Se Nd Pa
8 1 6
direct
0.2631 0.7369 0.2631
0.7369 0.7369 0.2631
0.2500 0.2500 0.2500
0.7369 0.2631 0.7369
0.7500 0.7500 0.7500
0.2631 0.2631 0.7369
0.2631 0.7369 0.7369
0.7369 0.2631 0.2631
0.0000 0.0000 0.0000
0.5000 0.5000 0.0000
0.0000 0.5000 0.0000
0.0000 0.0000 0.5000
0.0000 0.5000 0.5000
0.5000 0.0000 0.0000
0.5000 0.0000 0.5000
```

Results
SG: No. 225
DOS(E_F): 1.483 states/eV per atom
magnetic moment: 0.00 μB per formula unit


x | # NdPa6Se8

A relaxed NdPa6Se8 crystal (GGA-PBE, the Alexandria database).

The structure in POSCAR format:
```
NdPa6Se8
1.0
-2.0746 4.2813 5.9793
-6.8422 3.1848 -1.1942
-5.3842 -3.5271 4.1176
Pa Se Nd
6 8 1
direct
0.9284 0.5519 0.2991
0.7009 0.0716 0.4481
0.0716 0.4481 0.7009
0.5519 0.2991 0.9284
0.4481 0.7009 0.0716
0.2991 0.9284 0.5519
0.0980 0.8038 0.3784
0.6673 0.6673 0.6673
0.9020 0.1962 0.6216
0.8038 0.3784 0.0980
0.6216 0.9020 0.1962
0.3327 0.3327 0.3327
0.1962 0.6216 0.9020
0.3784 0.0980 0.8038
0.0000 0.0000 0.0000
```

Results
SG: No. 148
DOS(E_F): 1.747 states/eV per atom
magnetic moment: 5.86 μB per formula unit


The calculated energies rank the structures as follows, beginning with the most stable: w, x.


w | # NdPaSi4

A relaxed NdPaSi4 crystal (GGA-PBE, the Alexandria database).

The structure in POSCAR format:
```
NdPaSi4
1.0
3.8512 0.0000 -1.1892
-0.3672 3.8336 -1.1892
0.2835 0.3119 7.7487
Si Pa Nd
4 1 1
direct
0.6647 0.1647 0.3295
0.4198 0.4198 0.8396
0.8353 0.3353 0.6705
0.5802 0.5802 0.1604
0.0000 0.0000 0.0000
0.2500 0.7500 0.5000
```

Results
SG: No. 119
DOS(E_F): 0.894 states/eV per atom
magnetic moment: 0.00 μB per formula unit


x | # NdPaSi4

A relaxed NdPaSi4 crystal (GGA-PBE, the Alexandria database).

The structure in POSCAR format:
```
NdPaSi4
1.0
-1.9371 -2.0291 4.5660
-3.2254 -4.2778 -0.1246
1.7600 -4.7358 1.7869
Pa Si Nd
1 4 1
direct
0.2500 0.2500 0.2500
0.6260 0.6260 0.1221
0.6260 0.1221 0.6260
0.6260 0.6260 0.6260
0.1221 0.6260 0.6260
0.0000 0.0000 0.0000
```

Results
SG: No. 216
DOS(E_F): 0.923 states/eV per atom
magnetic moment: 0.00 μB per formula unit


The calculated energies rank the structures as follows, beginning with the most stable: w, x.